Entry 1:
! MgV2Cu2O8, optimized geometry, DFT PBEsol; values from VASP
! Total moment (μB per formula unit): 2.002
! Uncorrected formation energy (meV/atom): -1857
&SYSTEM
  ibrav = 0, nat = 52, ntyp = 4
/
ATOMIC_SPECIES
Mg 24.30 Mg.upf
V 50.94 V.upf
Cu 63.55 Cu.upf
O 16.00 O.upf
ATOMIC_POSITIONS crystal
Mg 0.114 0.839 0.048
Mg 0.886 0.161 0.952
Mg 0.886 0.339 0.452
Mg 0.114 0.661 0.548
V 0.104 0.539 0.846
V 0.104 0.961 0.346
V 0.609 0.914 0.134
V 0.896 0.039 0.654
V 0.391 0.086 0.866
V 0.391 0.414 0.366
V 0.609 0.586 0.634
V 0.896 0.461 0.154
Cu 0.765 0.816 0.871
Cu 0.376 0.943 0.626
Cu 0.624 0.057 0.374
Cu 0.235 0.184 0.129
Cu 0.765 0.684 0.371
Cu 0.376 0.557 0.126
Cu 0.235 0.316 0.629
Cu 0.624 0.443 0.874
O 0.039 0.766 0.393
O 0.661 0.989 0.596
O 0.190 0.425 0.470
O 0.810 0.925 0.030
O 0.039 0.734 0.893
O 0.961 0.234 0.607
O 0.083 0.895 0.613
O 0.506 0.100 0.140
O 0.506 0.400 0.640
O 0.312 0.130 0.724
O 0.688 0.630 0.776
O 0.494 0.900 0.860
O 0.917 0.105 0.387
O 0.877 0.464 0.299
O 0.422 0.718 0.587
O 0.422 0.782 0.087
O 0.123 0.964 0.201
O 0.494 0.600 0.360
O 0.123 0.536 0.701
O 0.810 0.575 0.530
O 0.661 0.511 0.096
O 0.688 0.870 0.276
O 0.961 0.266 0.107
O 0.083 0.605 0.113
O 0.190 0.075 0.970
O 0.578 0.218 0.913
O 0.339 0.011 0.404
O 0.339 0.489 0.904
O 0.917 0.395 0.887
O 0.578 0.282 0.413
O 0.312 0.370 0.224
O 0.877 0.036 0.799
CELL_PARAMETERS angstrom
-4.581 -0.519 -4.472
5.090 -4.428 -4.701
-3.784 -9.698 5.037

Entry 2:
! Mg30VCuO32, optimized geometry, DFT PBEsol; values from VASP
! Total moment (μB per formula unit): 2.189
! Uncorrected formation energy (meV/atom): -2647
&SYSTEM
  ibrav = 0, nat = 64, ntyp = 4
/
ATOMIC_SPECIES
Mg 24.30 Mg.upf
V 50.94 V.upf
Cu 63.55 Cu.upf
O 16.00 O.upf
ATOMIC_POSITIONS crystal
Mg 0.000 0.500 0.000
Mg 0.000 0.500 0.500
Mg 0.500 0.000 0.000
Mg 0.500 0.000 0.500
Mg 0.500 0.500 0.000
Mg 0.500 0.500 0.500
Mg 0.000 0.250 0.246
Mg 0.000 0.250 0.754
Mg 0.000 0.750 0.246
Mg 0.000 0.750 0.754
Mg 0.500 0.250 0.249
Mg 0.500 0.250 0.751
Mg 0.500 0.750 0.249
Mg 0.500 0.750 0.751
Mg 0.250 0.000 0.246
Mg 0.250 0.000 0.754
Mg 0.250 0.500 0.249
Mg 0.250 0.500 0.751
Mg 0.750 0.000 0.246
Mg 0.750 0.000 0.754
Mg 0.750 0.500 0.249
Mg 0.750 0.500 0.751
Mg 0.248 0.248 0.000
Mg 0.251 0.251 0.500
Mg 0.248 0.752 0.000
Mg 0.251 0.749 0.500
Mg 0.752 0.248 0.000
Mg 0.749 0.251 0.500
Mg 0.752 0.752 0.000
Mg 0.749 0.749 0.500
V 0.000 0.000 0.500
Cu 0.000 0.000 0.000
O 0.259 0.000 0.000
O 0.247 0.000 0.500
O 0.251 0.500 0.000
O 0.249 0.500 0.500
O 0.741 0.000 0.000
O 0.753 0.000 0.500
O 0.749 0.500 0.000
O 0.751 0.500 0.500
O 0.249 0.249 0.250
O 0.249 0.249 0.750
O 0.249 0.751 0.250
O 0.249 0.751 0.750
O 0.751 0.249 0.250
O 0.751 0.249 0.750
O 0.751 0.751 0.250
O 0.751 0.751 0.750
O 0.000 0.000 0.268
O 0.000 0.000 0.732
O 0.000 0.500 0.253
O 0.000 0.500 0.747
O 0.500 0.000 0.253
O 0.500 0.000 0.747
O 0.500 0.500 0.251
O 0.500 0.500 0.749
O 0.000 0.259 0.000
O 0.000 0.247 0.500
O 0.000 0.741 0.000
O 0.000 0.753 0.500
O 0.500 0.251 0.000
O 0.500 0.249 0.500
O 0.500 0.749 0.000
O 0.500 0.751 0.500
CELL_PARAMETERS angstrom
8.436 0.000 0.000
0.000 8.436 0.000
0.000 0.000 8.459

Entry 3:
! Mg14VCuO16, optimized geometry, DFT PBEsol; values from VASP
! Total moment (μB per formula unit): 2.471
! Uncorrected formation energy (meV/atom): -2549
&SYSTEM
  ibrav = 0, nat = 32, ntyp = 4
/
ATOMIC_SPECIES
Mg 24.30 Mg.upf
V 50.94 V.upf
Cu 63.55 Cu.upf
O 16.00 O.upf
ATOMIC_POSITIONS crystal
Mg 0.000 0.500 0.000
Mg 0.000 0.500 0.500
Mg 0.500 0.000 0.243
Mg 0.500 0.000 0.757
Mg 0.500 0.500 0.248
Mg 0.500 0.500 0.752
Mg 0.500 0.247 0.000
Mg 0.500 0.251 0.500
Mg 0.500 0.753 0.000
Mg 0.500 0.749 0.500
Mg 0.000 0.249 0.245
Mg 0.000 0.249 0.755
Mg 0.000 0.751 0.245
Mg 0.000 0.751 0.755
V 0.000 0.000 0.500
Cu 0.000 0.000 0.000
O 0.000 0.259 0.000
O 0.000 0.247 0.500
O 0.000 0.741 0.000
O 0.000 0.753 0.500
O 0.500 0.249 0.251
O 0.500 0.249 0.749
O 0.500 0.751 0.251
O 0.500 0.751 0.749
O 0.500 0.000 0.000
O 0.500 0.000 0.500
O 0.500 0.500 0.000
O 0.500 0.500 0.500
O 0.000 0.000 0.267
O 0.000 0.000 0.733
O 0.000 0.500 0.253
O 0.000 0.500 0.747
CELL_PARAMETERS angstrom
4.190 0.000 0.000
0.000 8.447 0.000
0.000 0.000 8.517

Entry 4:
! MgV2CuO7, optimized geometry, DFT PBEsol; values from VASP
! Total moment (μB per formula unit): 0.995
! Uncorrected formation energy (meV/atom): -2092
&SYSTEM
  ibrav = 0, nat = 66, ntyp = 4
/
ATOMIC_SPECIES
Mg 24.30 Mg.upf
V 50.94 V.upf
Cu 63.55 Cu.upf
O 16.00 O.upf
ATOMIC_POSITIONS crystal
Mg 0.566 0.150 0.581
Mg 0.072 0.500 0.750
Mg 0.566 0.850 0.919
Mg 0.928 0.500 0.250
Mg 0.434 0.850 0.419
Mg 0.434 0.150 0.081
V 0.786 0.171 0.292
V 0.258 0.169 0.377
V 0.742 0.169 0.877
V 0.214 0.171 0.792
V 0.720 0.514 0.956
V 0.258 0.831 0.123
V 0.280 0.514 0.456
V 0.742 0.831 0.623
V 0.720 0.486 0.544
V 0.280 0.486 0.044
V 0.214 0.829 0.708
V 0.786 0.829 0.208
Cu 0.072 0.796 0.408
Cu 0.928 0.204 0.592
Cu 0.562 0.500 0.250
Cu 0.072 0.204 0.092
Cu 0.438 0.500 0.750
Cu 0.928 0.796 0.908
O 0.244 0.195 0.962
O 0.234 0.855 0.293
O 0.141 0.000 0.750
O 0.100 0.456 0.106
O 0.594 0.930 0.567
O 0.073 0.278 0.731
O 0.669 0.340 0.908
O 0.900 0.456 0.606
O 0.269 0.471 0.872
O 0.594 0.070 0.933
O 0.269 0.529 0.628
O 0.573 0.606 0.884
O 0.086 0.841 0.039
O 0.927 0.278 0.231
O 0.331 0.660 0.092
O 0.669 0.660 0.592
O 0.073 0.722 0.769
O 0.406 0.070 0.433
O 0.756 0.195 0.462
O 0.427 0.394 0.116
O 0.611 0.818 0.283
O 0.731 0.529 0.128
O 0.914 0.841 0.539
O 0.731 0.471 0.372
O 0.100 0.544 0.394
O 0.427 0.606 0.384
O 0.900 0.544 0.894
O 0.389 0.818 0.783
O 0.389 0.182 0.717
O 0.914 0.159 0.961
O 0.927 0.722 0.269
O 0.244 0.805 0.538
O 0.859 0.000 0.250
O 0.766 0.855 0.793
O 0.406 0.930 0.067
O 0.086 0.159 0.461
O 0.756 0.805 0.038
O 0.234 0.145 0.207
O 0.573 0.394 0.616
O 0.331 0.340 0.408
O 0.766 0.145 0.707
O 0.611 0.182 0.217
CELL_PARAMETERS angstrom
-0.835 -8.259 -0.104
8.826 -0.844 -3.870
2.861 -0.413 9.760

Entry 5:
! MgV4Cu3O14, optimized geometry, DFT PBEsol; values from VASP
! Total moment (μB per formula unit): 2.959
! Uncorrected formation energy (meV/atom): -1875
&SYSTEM
  ibrav = 0, nat = 22, ntyp = 4
/
ATOMIC_SPECIES
Mg 24.30 Mg.upf
V 50.94 V.upf
Cu 63.55 Cu.upf
O 16.00 O.upf
ATOMIC_POSITIONS crystal
Mg 0.913 0.767 0.023
V 0.494 0.050 0.212
V 0.952 0.497 0.287
V 0.494 0.946 0.786
V 0.058 0.498 0.714
Cu 0.265 0.119 0.487
Cu 0.111 0.267 0.985
Cu 0.740 0.880 0.515
O 0.961 0.784 0.396
O 0.200 0.034 0.102
O 0.035 0.213 0.601
O 0.779 0.987 0.896
O 0.492 0.986 0.373
O 0.036 0.516 0.135
O 0.504 0.005 0.624
O 0.979 0.489 0.870
O 0.641 0.350 0.242
O 0.372 0.632 0.757
O 0.139 0.321 0.368
O 0.654 0.846 0.130
O 0.874 0.682 0.637
O 0.307 0.130 0.861
CELL_PARAMETERS angstrom
-0.647 -5.213 -1.703
3.844 1.005 -3.912
5.382 -0.960 8.495

Entry 6:
! YMg14CuO16, optimized geometry, DFT PBEsol; values from VASP
! Total moment (μB per formula unit): 0.000
! Uncorrected formation energy (meV/atom): -2613
&SYSTEM
  ibrav = 0, nat = 32, ntyp = 4
/
ATOMIC_SPECIES
Y 88.91 Y.upf
Mg 24.30 Mg.upf
Cu 63.55 Cu.upf
O 16.00 O.upf
ATOMIC_POSITIONS crystal
Y 0.000 0.000 0.000
Mg 0.000 0.500 0.000
Mg 0.000 0.000 0.500
Mg 0.500 0.264 0.000
Mg 0.500 0.736 0.000
Mg 0.500 0.256 0.500
Mg 0.500 0.744 0.500
Mg 0.500 0.000 0.264
Mg 0.500 0.500 0.256
Mg 0.500 0.000 0.736
Mg 0.500 0.500 0.744
Mg 0.000 0.262 0.262
Mg 0.000 0.738 0.262
Mg 0.000 0.262 0.738
Mg 0.000 0.738 0.738
Cu 0.000 0.500 0.500
O 0.000 0.000 0.257
O 0.000 0.500 0.235
O 0.000 0.000 0.743
O 0.000 0.500 0.765
O 0.500 0.249 0.249
O 0.500 0.751 0.249
O 0.500 0.249 0.751
O 0.500 0.751 0.751
O 0.500 0.000 0.000
O 0.500 0.500 0.000
O 0.500 0.000 0.500
O 0.500 0.500 0.500
O 0.000 0.257 0.000
O 0.000 0.743 0.000
O 0.000 0.235 0.500
O 0.000 0.765 0.500
CELL_PARAMETERS angstrom
-1.991 1.046 3.633
-3.897 -7.663 0.071
6.533 -3.281 4.525

Entry 7:
! YMg30CuO32, optimized geometry, DFT PBEsol; values from VASP
! Total moment (μB per formula unit): 0.123
! Uncorrected formation energy (meV/atom): -2681
&SYSTEM
  ibrav = 0, nat = 64, ntyp = 4
/
ATOMIC_SPECIES
Y 88.91 Y.upf
Mg 24.30 Mg.upf
Cu 63.55 Cu.upf
O 16.00 O.upf
ATOMIC_POSITIONS crystal
Y 0.000 0.000 0.000
Mg 0.000 0.500 0.000
Mg 0.000 0.000 0.500
Mg 0.500 0.000 0.000
Mg 0.500 0.500 0.000
Mg 0.500 0.000 0.500
Mg 0.500 0.500 0.500
Mg 0.000 0.259 0.259
Mg 0.000 0.741 0.259
Mg 0.000 0.259 0.741
Mg 0.000 0.741 0.741
Mg 0.500 0.252 0.252
Mg 0.500 0.748 0.252
Mg 0.500 0.252 0.748
Mg 0.500 0.748 0.748
Mg 0.255 0.257 0.000
Mg 0.255 0.743 0.000
Mg 0.248 0.254 0.500
Mg 0.248 0.746 0.500
Mg 0.745 0.257 0.000
Mg 0.745 0.743 0.000
Mg 0.752 0.254 0.500
Mg 0.752 0.746 0.500
Mg 0.255 0.000 0.257
Mg 0.248 0.500 0.254
Mg 0.255 0.000 0.743
Mg 0.248 0.500 0.746
Mg 0.745 0.000 0.257
Mg 0.752 0.500 0.254
Mg 0.745 0.000 0.743
Mg 0.752 0.500 0.746
Cu 0.000 0.500 0.500
O 0.259 0.000 0.000
O 0.253 0.500 0.000
O 0.253 0.000 0.500
O 0.263 0.500 0.500
O 0.741 0.000 0.000
O 0.747 0.500 0.000
O 0.747 0.000 0.500
O 0.737 0.500 0.500
O 0.249 0.249 0.249
O 0.249 0.751 0.249
O 0.249 0.249 0.751
O 0.249 0.751 0.751
O 0.751 0.249 0.249
O 0.751 0.751 0.249
O 0.751 0.249 0.751
O 0.751 0.751 0.751
O 0.000 0.257 0.000
O 0.000 0.743 0.000
O 0.000 0.238 0.500
O 0.000 0.762 0.500
O 0.500 0.250 0.000
O 0.500 0.750 0.000
O 0.500 0.248 0.500
O 0.500 0.752 0.500
O 0.000 0.000 0.257
O 0.000 0.500 0.238
O 0.000 0.000 0.743
O 0.000 0.500 0.762
O 0.500 0.000 0.250
O 0.500 0.500 0.248
O 0.500 0.000 0.750
O 0.500 0.500 0.752
CELL_PARAMETERS angstrom
8.501 0.000 0.000
0.000 8.508 0.000
0.000 0.000 8.508

Entry 8:
! Mg14ZnCuO16, optimized geometry, DFT PBEsol; values from VASP
! Total moment (μB per formula unit): 0.903
! Uncorrected formation energy (meV/atom): -2508
&SYSTEM
  ibrav = 0, nat = 32, ntyp = 4
/
ATOMIC_SPECIES
Mg 24.30 Mg.upf
Zn 65.41 Zn.upf
Cu 63.55 Cu.upf
O 16.00 O.upf
ATOMIC_POSITIONS crystal
Mg 0.000 0.500 0.000
Mg 0.000 0.000 0.500
Mg 0.500 0.250 0.000
Mg 0.500 0.750 0.000
Mg 0.500 0.251 0.500
Mg 0.500 0.749 0.500
Mg 0.500 0.000 0.250
Mg 0.500 0.500 0.251
Mg 0.500 0.000 0.750
Mg 0.500 0.500 0.749
Mg 0.000 0.251 0.251
Mg 0.000 0.749 0.251
Mg 0.000 0.251 0.749
Mg 0.000 0.749 0.749
Zn 0.000 0.000 0.000
Cu 0.000 0.500 0.500
O 0.000 0.000 0.253
O 0.000 0.500 0.248
O 0.000 0.000 0.747
O 0.000 0.500 0.752
O 0.500 0.250 0.250
O 0.500 0.750 0.250
O 0.500 0.250 0.750
O 0.500 0.750 0.750
O 0.500 0.000 0.000
O 0.500 0.500 0.000
O 0.500 0.000 0.500
O 0.500 0.500 0.500
O 0.000 0.253 0.000
O 0.000 0.747 0.000
O 0.000 0.248 0.500
O 0.000 0.752 0.500
CELL_PARAMETERS angstrom
-3.609 -1.247 1.785
4.358 -4.452 5.699
0.200 6.725 5.101

Q: Look up the total moment of the first one.
A: 2.002 μB per formula unit